(1)
{"formula": "Sc4Nb2Sb3C3", "functional": "PBE", "state": "relaxed", "lattice": [[-3.264, -2.911, -3.846], [2.521, -3.720, -3.705], [-1.920, -12.549, 6.755]], "species": ["Sb", "Sb", "Sb", "Sb", "Sb", "Sb", "Sc", "Sc", "Sc", "Sc", "Sc", "Sc", "Sc", "Sc", "Nb", "Nb", "Nb", "Nb", "C", "C", "C", "C", "C", "C"], "frac_coords": [[0.901, 0.099, 0.750], [0.099, 0.901, 0.250], [0.736, 0.585, 0.251], [0.264, 0.415, 0.749], [0.585, 0.736, 0.751], [0.415, 0.264, 0.249], [0.812, 0.965, 0.087], [0.695, 0.870, 0.413], [0.188, 0.035, 0.913], [0.305, 0.130, 0.587], [0.130, 0.305, 0.087], [0.870, 0.695, 0.913], [0.965, 0.812, 0.587], [0.035, 0.188, 0.413], [0.475, 0.647, 0.079], [0.525, 0.353, 0.921], [0.647, 0.475, 0.579], [0.353, 0.525, 0.421], [0.180, 0.660, 0.000], [0.340, 0.820, 0.500], [0.000, 0.500, 0.500], [0.660, 0.180, 0.500], [0.500, 0.000, 0.000], [0.820, 0.340, 0.000]], "vol_a3_per_fu": 205.9, "final_energy_ev_per_atom": -7.79}


(2)
{"formula": "SrZnCdGe2", "functional": "PBE", "state": "relaxed", "lattice": [[-1.993, 3.017, 5.248], [-4.199, 4.767, -0.500], [0.689, -5.982, -2.086]], "species": ["Sr", "Cd", "Zn", "Ge", "Ge"], "frac_coords": [[0.000, 0.000, 0.000], [0.750, 0.250, 0.500], [0.250, 0.750, 0.500], [0.385, 0.385, 0.000], [0.615, 0.615, 0.000]], "vol_a3_per_fu": 112.9, "final_energy_ev_per_atom": -2.93}


(3)
{"formula": "CoIr2W", "functional": "PBE", "state": "relaxed", "lattice": [[3.690, -0.901, 2.050], [-0.085, -1.388, 4.086], [1.019, -4.094, 0.910]], "species": ["Co", "W", "Ir", "Ir"], "frac_coords": [[0.250, 0.250, 0.250], [0.500, 0.500, 0.500], [0.750, 0.750, 0.750], [0.000, 0.000, 0.000]], "formation_enthalpy_0k_ev_per_fu": 1.03, "vol_a3_per_fu": 56.8, "relative_energy_ev_per_atom": 0.524}


(4)
{"formula": "KRe2O4", "functional": "PBE", "state": "relaxed", "lattice": [[4.613, -4.615, 0.000], [-4.613, 0.000, -4.615], [4.613, 4.615, 0.000]], "species": ["O", "O", "O", "O", "O", "O", "O", "O", "K", "K", "Re", "Re", "Re", "Re"], "frac_coords": [[0.546, 0.697, 0.849], [0.151, 0.303, 0.849], [0.151, 0.303, 0.454], [0.204, 0.803, 0.401], [0.151, 0.697, 0.849], [0.599, 0.197, 0.401], [0.599, 0.803, 0.401], [0.599, 0.197, 0.796], [0.750, 0.500, 0.250], [0.000, 0.000, 0.000], [0.375, 0.750, 0.125], [0.875, 0.250, 0.625], [0.375, 0.750, 0.625], [0.375, 0.250, 0.625]], "vol_a3_per_fu": 98.3, "final_energy_ev_per_atom": -7.52}


(5)
{"formula": "KCu2AsS3", "functional": "PBE", "state": "relaxed", "lattice": [[6.320, 0.017, 0.008], [-0.142, 8.950, -0.001], [-0.253, -0.136, 10.335]], "species": ["S", "S", "S", "S", "S", "S", "S", "S", "S", "S", "S", "S", "Cu", "Cu", "Cu", "Cu", "Cu", "Cu", "Cu", "Cu", "As", "As", "As", "As", "K", "K", "K", "K"], "frac_coords": [[0.636, 0.805, 0.329], [0.150, 0.772, 0.557], [0.637, 0.776, 0.973], [0.347, 0.420, 0.361], [0.138, 0.582, 0.856], [0.147, 0.806, 0.165], [0.653, 0.580, 0.639], [0.853, 0.194, 0.835], [0.364, 0.195, 0.671], [0.363, 0.224, 0.027], [0.862, 0.418, 0.144], [0.850, 0.228, 0.443], [0.573, 0.347, 0.545], [0.500, 0.598, 0.835], [0.500, 0.402, 0.165], [0.014, 0.251, 0.644], [0.933, 0.643, 0.039], [0.986, 0.749, 0.356], [0.067, 0.357, 0.961], [0.427, 0.653, 0.455], [0.982, 0.452, 0.356], [0.468, 0.685, 0.153], [0.532, 0.315, 0.847], [0.018, 0.548, 0.644], [0.793, 0.067, 0.131], [0.703, 0.930, 0.629], [0.207, 0.933, 0.869], [0.297, 0.070, 0.371]], "vol_a3_per_fu": 146.2, "final_energy_ev_per_atom": -4.12}


(6)
{"formula": "CsMg3ZnAs3", "functional": "PBE", "state": "relaxed", "lattice": [[4.358, 0.000, 0.000], [0.000, 4.491, 0.000], [0.000, 0.000, 10.872]], "species": ["Cs", "As", "As", "As", "Mg", "Mg", "Mg", "Zn"], "frac_coords": [[0.000, 0.000, 0.500], [0.500, 0.500, 0.720], [0.000, 0.000, 0.999], [0.500, 0.500, 0.284], [0.500, 0.000, 0.159], [0.000, 0.500, 0.151], [0.500, 0.000, 0.847], [0.000, 0.500, 0.841]], "vol_a3_per_fu": 212.8, "final_energy_ev_per_atom": -3.18}


(7)
{"formula": "CsTaIr", "functional": "PBE", "state": "relaxed", "lattice": [[-3.432, -3.043, 0.425], [-3.334, 0.707, 3.099], [-4.247, 1.108, -1.398]], "species": ["Ta", "Ir", "Cs"], "frac_coords": [[0.750, 0.750, 0.750], [0.250, 0.250, 0.250], [0.000, 0.000, 0.000]], "vol_a3_per_fu": 69.1, "relative_energy_ev_per_atom": 1.060}


(8)
{"formula": "LiAgMo2", "functional": "PBE", "state": "relaxed", "lattice": [[0.000, 3.151, 3.151], [3.151, 0.000, 3.151], [3.151, 3.151, 0.000]], "species": ["Mo", "Mo", "Ag", "Li"], "frac_coords": [[0.750, 0.750, 0.750], [0.000, 0.000, 0.000], [0.250, 0.250, 0.250], [0.500, 0.500, 0.500]], "vol_a3_per_fu": 62.5, "final_energy_ev_per_atom": -6.06}


(9)
{"formula": "Er3As3W2N12", "functional": "PBE", "state": "relaxed", "lattice": [[7.637, -5.980, 4.579], [-9.056, -5.702, -0.718], [3.164, 2.935, -9.819]], "species": ["N", "N", "N", "N", "N", "N", "N", "N", "N", "N", "N", "N", "N", "N", "N", "N", "N", "N", "N", "N", "N", "N", "N", "N", "N", "N", "N", "N", "N", "N", "N", "N", "N", "N", "N", "N", "N", "N", "N", "N", "N", "N", "N", "N", "N", "N", "N", "N", "Er", "Er", "Er", "Er", "Er", "Er", "Er", "Er", "Er", "Er", "Er", "Er", "As", "As", "As", "As", "As", "As", "As", "As", "As", "As", "As", "As", "W", "W", "W", "W", "W", "W", "W", "W"], "frac_coords": [[0.912, 0.117, 0.596], [0.088, 0.705, 0.684], [0.588, 0.184, 0.205], [0.521, 0.404, 0.816], [0.412, 0.096, 0.617], [0.816, 0.795, 0.412], [0.795, 0.883, 0.979], [0.617, 0.705, 0.521], [0.295, 0.479, 0.383], [0.021, 0.205, 0.117], [0.912, 0.295, 0.316], [0.096, 0.979, 0.684], [0.184, 0.479, 0.596], [0.904, 0.021, 0.316], [0.117, 0.021, 0.205], [0.316, 0.904, 0.021], [0.316, 0.912, 0.295], [0.479, 0.596, 0.184], [0.596, 0.184, 0.479], [0.479, 0.383, 0.295], [0.184, 0.205, 0.588], [0.404, 0.816, 0.521], [0.383, 0.588, 0.904], [0.883, 0.979, 0.795], [0.117, 0.596, 0.912], [0.596, 0.912, 0.117], [0.295, 0.316, 0.912], [0.979, 0.795, 0.883], [0.979, 0.684, 0.096], [0.705, 0.521, 0.617], [0.617, 0.412, 0.096], [0.816, 0.521, 0.404], [0.904, 0.383, 0.588], [0.521, 0.617, 0.705], [0.684, 0.088, 0.705], [0.205, 0.588, 0.184], [0.404, 0.088, 0.883], [0.021, 0.316, 0.904], [0.088, 0.883, 0.404], [0.795, 0.412, 0.816], [0.883, 0.404, 0.088], [0.588, 0.904, 0.383], [0.205, 0.117, 0.021], [0.705, 0.684, 0.088], [0.096, 0.617, 0.412], [0.383, 0.295, 0.479], [0.684, 0.096, 0.979], [0.412, 0.816, 0.795], [0.250, 0.875, 0.625], [0.625, 0.250, 0.875], [0.125, 0.250, 0.375], [0.250, 0.375, 0.125], [0.125, 0.375, 0.750], [0.375, 0.750, 0.125], [0.375, 0.125, 0.250], [0.875, 0.625, 0.250], [0.625, 0.875, 0.750], [0.750, 0.625, 0.875], [0.875, 0.750, 0.625], [0.750, 0.125, 0.375], [0.375, 0.250, 0.625], [0.125, 0.875, 0.250], [0.125, 0.750, 0.875], [0.875, 0.125, 0.750], [0.750, 0.375, 0.625], [0.875, 0.250, 0.125], [0.250, 0.625, 0.375], [0.625, 0.750, 0.375], [0.375, 0.625, 0.750], [0.250, 0.125, 0.875], [0.750, 0.875, 0.125], [0.625, 0.375, 0.250], [0.500, 0.000, 0.000], [0.500, 0.500, 0.500], [0.000, 0.000, 0.000], [0.500, 0.000, 0.500], [0.000, 0.000, 0.500], [0.500, 0.500, 0.000], [0.000, 0.500, 0.500], [0.000, 0.500, 0.000]], "vol_a3_per_fu": 237.5, "final_energy_ev_per_atom": -8.17}


(10)
{"formula": "Ni2Br3Cl", "functional": "PBE", "state": "relaxed", "lattice": [[-1.687, -5.367, 3.993], [-1.415, -1.537, -2.663], [6.421, -0.239, -3.273]], "species": ["Br", "Br", "Br", "Ni", "Ni", "Cl"], "frac_coords": [[0.733, 0.500, 0.491], [0.771, 0.000, 0.007], [0.266, 0.500, 0.508], [0.501, 0.000, 0.501], [0.008, 0.500, 0.000], [0.221, 0.000, 0.994]], "vol_a3_per_fu": 149.9, "final_energy_ev_per_atom": -3.29}


(11)
{"formula": "ThInFe", "functional": "PBE", "state": "relaxed", "lattice": [[0.000, 3.325, 3.325], [3.325, 0.000, 3.325], [3.325, 3.325, 0.000]], "species": ["Th", "In", "Fe"], "frac_coords": [[0.250, 0.250, 0.250], [0.750, 0.750, 0.750], [0.000, 0.000, 0.000]], "vol_a3_per_fu": 73.5, "final_energy_ev_per_atom": -6.10}


(12)
{"formula": "BaNaTb", "functional": "PBE", "state": "relaxed", "lattice": [[4.813, -2.525, 2.012], [0.207, -1.895, 5.474], [0.046, -5.691, 1.096]], "species": ["Na", "Tb", "Ba"], "frac_coords": [[0.000, 0.000, 0.000], [0.750, 0.750, 0.750], [0.250, 0.250, 0.250]], "vol_a3_per_fu": 137.7, "final_energy_ev_per_atom": -1.97}